# CdSbMo2

Crystalline CdSbMo2 at its relaxed geometry (GGA-PBEsol, Alexandria via LeMat-Bulk).

a = 4.100 Å, b = 4.100 Å, c = 5.062 Å
α = 113.89°, β = 113.89°, γ = 90.00°
Positions (direct):
Cd1 0.250 0.750 0.500
Sb1 0.500 0.500 0.000
Mo1 0.000 0.000 0.000
Mo2 0.750 0.250 0.500

Results
The total moment comes out at 0.0 μB/f.u. The calculation puts the density of states at the Fermi level at 3.2 states/eV/cell. Its offset from the most stable computed form is 100 meV/atom. The space group is I-4m2 (119).